Crystalline CoB3Mo at its relaxed geometry, computed with GGA-PBEsol.

Cell lengths 3.6430, 3.6430, 3.6430 Å; angles 90.00, 90.00, 90.00 degrees
Closest atoms and distances in Å follow each position.
Positions (direct):
Mo 0.5000 0.5000 0.5000  12 B 2.58
B 0.0000 0.5000 0.0000  2 Co 1.82
B 0.0000 0.0000 0.5000  2 Co 1.82
B 0.5000 0.0000 0.0000  2 Co 1.82
Co 0.0000 0.0000 0.0000  6 B 1.82

DFT formation energy (eV/f.u.): 4.08